Record 1
## SmCdSi2Au5 (GGA-PBE)

Data for an optimized crystal structure of SmCdSi2Au5.

a = 4.572 Å, b = 4.572 Å, c = 9.723 Å
α = 90.00°, β = 90.00°, γ = 90.00°
Space group P4/mmm (No. 123)
Inequivalent atoms, fractional coordinates:
Sm (0.000, 0.000, 0.000)
Cd (0.000, 0.000, 0.500)
Si (0.500, 0.500, 0.241)
Au (0.000, 0.500, 0.320)
Au (0.500, 0.500, 0.000)

Properties
VASP energy (eV per cell): -34.5
Raw formation energy (eV/atom): -0.185

---

Record 2
## Sr2CdSiAu (GGA-PBE)

Data for an optimized crystal structure of Sr2CdSiAu.

a = 6.081 Å, b = 6.081 Å, c = 4.633 Å
α = 90.00°, β = 90.00°, γ = 90.00°
Space group P4/mmm (No. 123)
Inequivalent atoms, fractional coordinates:
Sr (0.000, 0.500, 0.000)
Cd (0.000, 0.000, 0.500)
Si (0.500, 0.500, 0.500)
Au (0.500, 0.500, 0.000)

Properties
VASP energy (eV per cell): -14.2
Raw formation energy (eV/atom): -0.251

---

Record 3
## Sr2Cd2SiAu4 (GGA-PBE)

Data for an optimized crystal structure of Sr2Cd2SiAu4.

a = 7.033 Å, b = 7.033 Å, c = 8.703 Å
α = 90.00°, β = 90.00°, γ = 90.00°
Space group I4/mmm (No. 139)
Inequivalent atoms, fractional coordinates:
Sr (0.000, 0.500, 0.250)
Cd (0.000, 0.000, 0.178)
Si (0.000, 0.000, 0.500)
Au (0.250, 0.250, 0.000)

Properties
VASP energy (eV per cell): -55.4
Raw formation energy (eV/atom): -0.443

---

Q: Which formula does entry 3 have?
A: Sr2Cd2SiAu4

---

Q: Which value of raw formation energy does entry 3 give?
A: -0.443 eV/atom

---

What did the third record say?
## Sr2Cd2SiAu4 (GGA-PBE)

Data for an optimized crystal structure of Sr2Cd2SiAu4.

a = 7.033 Å, b = 7.033 Å, c = 8.703 Å
α = 90.00°, β = 90.00°, γ = 90.00°
Space group I4/mmm (No. 139)
Inequivalent atoms, fractional coordinates:
Sr (0.000, 0.500, 0.250)
Cd (0.000, 0.000, 0.178)
Si (0.000, 0.000, 0.500)
Au (0.250, 0.250, 0.000)

Properties
VASP energy (eV per cell): -55.4
Raw formation energy (eV/atom): -0.443

---

Q: The lowest raw formation energy belongs to which entry?
A: Sr2Cd2SiAu4